# Ca2CdInH

A relaxed structure of Ca2CdInH (PBE, Alexandria via LeMat-Bulk).

Summary:
- density of states at the Fermi level (states/eV/cell) = 2.02
- electronic total energy (eV per atom) = -2.549
- ρ (g cm⁻³) = 4.60
- V (Å³/atom) = 22.242
- crystal system = tetragonal

```
data_Ca2CdInH
_cell_length_a 4.957
_cell_length_b 4.957
_cell_length_c 4.525
_cell_angle_alpha 90.00
_cell_angle_beta 90.00
_cell_angle_gamma 90.00
_space_group_name_H-M_alt 'P 4/m m m'
_space_group_IT_number 123
_space_group_name_Hall '-P 4 2'
loop_
_atom_site_label
_atom_site_fract_x
_atom_site_fract_y
_atom_site_fract_z
Ca1 0.000 0.500 0.000
Cd1 0.000 0.000 0.500
In1 0.500 0.500 0.500
H1 0.000 0.000 0.000
```